No. 1
Here is a relaxed structure of ThPdRh from the Alexandria database. Energies are from PBE-GGA.

Calculated total energy (Ry/atom): -0.541
M_tot (μB/f.u.): 0.00
ΔE to the lowest computed polymorph (kJ/mol of atoms): 6.41
Energy of formation (eV/atom): -0.70

a b c (Å): 3.6829 3.6829 9.0012
angles (deg): 90.00 90.00 90.00
Last column: nearest neighbours and their distance in Å.
Space group I4mm (No. 107)
Asymmetric unit:
Th 0.0000 0.0000 0.0000 [2 per cell]  5 Pd 2.94-3.04, 5 Rh 2.94-3.14
Pd 0.0000 0.0000 0.3263 [2 per cell]  5 Rh 2.93-3.04, 5 Th 2.94-3.04
Rh 0.0000 0.0000 0.6514 [2 per cell]  5 Pd 2.93-3.04, 5 Th 2.94-3.14



No. 2
Here is a relaxed structure of ThPdRh2 from the Alexandria database. Energies are from PBE-GGA.

Calculated total energy (Ry/atom): -0.550
M_tot (μB/f.u.): 0.00
Energy of formation (eV/atom): -0.65

a b c (Å): 6.6217 6.6217 6.6217
angles (deg): 90.00 90.00 90.00
Last column: nearest neighbours and their distance in Å.
Space group Fm-3m (No. 225)
Asymmetric unit:
Th 0.0000 0.0000 0.0000 [4 per cell]  8 Rh 2.87
Pd 0.0000 0.0000 0.5000 [4 per cell]  8 Rh 2.87
Rh 0.2500 0.2500 0.2500 [8 per cell]  4 Th 2.87, 4 Pd 2.87



No. 3
Here is a relaxed structure of Th2PdRh4 from the Alexandria database. Energies are from PBE-GGA.

Calculated total energy (Ry/atom): -0.553
M_tot (μB/f.u.): 0.00
ΔE to the lowest computed polymorph (kJ/mol of atoms): 10.89
Energy of formation (eV/atom): -0.47

a b c (Å): 9.9782 5.5365 9.6618
angles (deg): 90.00 90.00 90.00
Last column: nearest neighbours and their distance in Å.
Space group Cmce (No. 64)
Asymmetric unit:
Th 0.1568 0.0000 0.0000 [8 per cell]  4 Rh 2.64-2.93
Pd 0.0000 0.0000 0.5000 [4 per cell]  4 Rh 2.75-2.88
Rh 0.0000 0.1798 0.2351 [8 per cell]  2 Pd 2.75-2.88, 6 Rh 2.78-2.93, 2 Th 2.93
Rh 0.2500 0.0980 0.7500 [8 per cell]  2 Th 2.64, 6 Rh 2.77-2.93



No. 4
Here is a relaxed structure of Th4Pd15Rh from the Alexandria database. Energies are from PBE-GGA.

Calculated total energy (Ry/atom): -0.476
M_tot (μB/f.u.): 0.00
Energy of formation (eV/atom): -0.73

a b c (Å): 4.2004 4.2004 20.4367
angles (deg): 90.00 90.00 90.00
Last column: nearest neighbours and their distance in Å.
Space group P4/mmm (No. 123)
Asymmetric unit:
Th 0.0000 0.0000 0.1044 [2 per cell]  12 Pd 2.94-2.99
Th 0.0000 0.0000 0.3146 [2 per cell]  12 Pd 2.84-3.07
Pd 0.0000 0.5000 0.0000 [2 per cell]  8 Pd 2.96-2.97, 4 Th 2.99
Pd 0.0000 0.5000 0.2051 [4 per cell]  4 Th 2.94-3.07, 8 Pd 2.94-2.97
Pd 0.0000 0.5000 0.4082 [4 per cell]  8 Pd 2.82-2.97, 2 Rh 2.82, 2 Th 2.84
Pd 0.5000 0.5000 0.1022 [2 per cell]  8 Pd 2.96-2.97, 4 Th 2.97
Pd 0.5000 0.5000 0.3059 [2 per cell]  8 Pd 2.94-2.96, 4 Th 2.98
Pd 0.5000 0.5000 0.5000 [1 per cell]  8 Pd 2.82, 4 Rh 2.97
Rh 0.0000 0.0000 0.5000 [1 per cell]  12 Pd 2.82-2.97



No. 5
Here is a relaxed structure of ThPdRh from the Alexandria database. Energies are from PBE-GGA.

Calculated total energy (Ry/atom): -0.546
M_tot (μB/f.u.): 0.00
ΔE to the lowest computed polymorph (kJ/mol of atoms): 0.00
Energy of formation (eV/atom): -0.77

a b c (Å): 12.2413 4.0350 5.1710
angles (deg): 90.00 103.04 90.00
Last column: nearest neighbours and their distance in Å.
Space group C2/m (No. 12)
Asymmetric unit:
Th 0.1211 0.0000 0.3103 [4 per cell]  3 Rh 2.68-2.91
Pd 0.0657 0.5000 0.7820 [4 per cell]  3 Rh 2.82-2.86, 2 Pd 3.00-3.05, 2 Th 3.01
Rh 0.2294 0.0000 0.8222 [4 per cell]  3 Th 2.68-2.91, 2 Rh 2.70, 3 Pd 2.82-2.86



No. 6
Here is a relaxed structure of Th4Pd3Rh from the Alexandria database. Energies are from PBE-GGA.

Calculated total energy (Ry/atom): -0.542
M_tot (μB/f.u.): 0.00
Energy of formation (eV/atom): -0.79

a b c (Å): 3.8929 4.4804 11.2231
angles (deg): 90.00 90.00 90.00
Last column: nearest neighbours and their distance in Å.
Space group Pmm2 (No. 25)
Asymmetric unit:
Th 0.0000 0.0000 0.0000 [1 per cell]  5 Pd 3.00-3.09, 2 Rh 3.26
Th 0.0000 0.5000 0.2682 [1 per cell]  4 Rh 2.99, 3 Pd 3.08-3.21
Th 0.5000 0.0000 0.4903 [1 per cell]  1 Rh 2.89, 4 Pd 3.02
Th 0.5000 0.5000 0.7686 [1 per cell]  7 Pd 3.01-3.20
Pd 0.0000 0.0000 0.7245 [1 per cell]  7 Th 3.01-3.27, 2 Pd 3.03
Pd 0.0000 0.5000 0.5426 [1 per cell]  7 Th 3.02-3.20, 2 Pd 3.03
Pd 0.5000 0.5000 0.0410 [1 per cell]  7 Th 3.00-3.21, 2 Rh 3.11
Rh 0.5000 0.0000 0.2330 [1 per cell]  5 Th 2.89-2.99, 2 Pd 3.11



No. 7
Here is a relaxed structure of Th2PdRh2 from the Alexandria database. Energies are from PBE-GGA.

Calculated total energy (Ry/atom): -0.575
M_tot (μB/f.u.): 0.00
Energy of formation (eV/atom): -0.88

a b c (Å): 7.5449 7.5449 3.8032
angles (deg): 90.00 90.00 90.00
Last column: nearest neighbours and their distance in Å.
Space group P4/mbm (No. 127)
Asymmetric unit:
Th 0.1762 0.3238 0.0000 [4 per cell]  6 Rh 2.79-3.02
Pd 0.0000 0.0000 0.5000 [2 per cell]  4 Rh 2.95
Rh 0.1324 0.6324 0.5000 [4 per cell]  6 Th 2.79-3.02, 1 Rh 2.83, 2 Pd 2.95



No. 8
Here is a relaxed structure of Th2PdRh4 from the Alexandria database. Energies are from PBE-GGA.

Calculated total energy (Ry/atom): -0.562
M_tot (μB/f.u.): 0.00
ΔE to the lowest computed polymorph (kJ/mol of atoms): 0.00
Energy of formation (eV/atom): -0.58

a b c (Å): 3.9397 3.9397 18.1701
angles (deg): 90.00 90.00 90.00
Last column: nearest neighbours and their distance in Å.
Space group I4/mmm (No. 139)
Asymmetric unit:
Th 0.0000 0.0000 0.1106 [4 per cell]  4 Rh 2.86
Pd 0.0000 0.0000 0.5000 [2 per cell]  2 Rh 2.67
Rh 0.0000 0.0000 0.3529 [4 per cell]  1 Pd 2.67, 4 Rh 2.72, 4 Th 2.86
Rh 0.0000 0.5000 0.2500 [4 per cell]  8 Rh 2.72-2.79



Question: M_tot of number 4 (Th4Pd15Rh)?
Answer: 0.00 μB/f.u.